Version 1
# Si2MoCl

Crystalline Si2MoCl at its relaxed geometry (GGA-PBE, Alexandria).

a = 3.1026 Å, b = 3.1026 Å, c = 7.8280 Å
α = 90.00°, β = 90.00°, γ = 90.00°
With the nearest neighbours (Å) after each atom.
Space group P4mm (No. 99)
Unique sites:
Si  0.0000  0.0000  0.0000 x1  4 Si 2.54, 4 Mo 2.58
Si  0.5000  0.5000  0.1625 x1  4 Si 2.54, 1 Mo 2.63
Mo  0.5000  0.5000  0.8271 x1  5 Si 2.58-2.63, 4 Cl 2.76
Cl  0.0000  0.0000  0.6127 x1  4 Mo 2.76, 1 Si 3.03

Spin magnetization = 0.0 Bohr magnetons per cell

=====

Version 2
# Si2MoCl

Crystalline Si2MoCl at its relaxed geometry (GGA-PBE, Alexandria).

a = 3.1609 Å, b = 3.1609 Å, c = 22.9258 Å
α = 90.00°, β = 90.00°, γ = 120.00°
With the nearest neighbours (Å) after each atom.
Space group R-3m (No. 166, hexagonal axes)
Unique sites:
Si  0.0000  0.0000  0.2418 x6  3 Mo 2.51, 3 Cl 2.78
Mo  0.0000  0.0000  0.5000 x3  6 Si 2.51
Cl  0.0000  0.0000  0.0000 x3  6 Si 2.78

Spin magnetization = 1.2 Bohr magnetons per cell

=====

Question: of the structures shown, which is the least stable? Reply: version 2.